Record 1
! La2NiBiH | Alexandria via LeMat-Bulk | PBE | relaxed; values from VASP
&SYSTEM
  ibrav = 0, nat = 5, ntyp = 4
/
ATOMIC_SPECIES
H 1.01 H.upf
Bi 208.98 Bi.upf
Ni 58.69 Ni.upf
La 138.91 La.upf
CELL_PARAMETERS angstrom
-3.357 -3.032 -2.752
3.014 0.578 -4.315
2.107 -3.271 1.034
ATOMIC_POSITIONS angstrom
H 0.000 0.000 0.000
Bi 0.882 -2.863 -3.016
Ni 1.053 -1.635 0.517
La -1.679 -1.516 -1.376
La 1.507 0.289 -2.157
! - Crystal system: tetragonal
! - Total energy: -5.020 eV/atom

=====

Record 2
! PmGa4Rh3 | Alexandria via LeMat-Bulk | PBE | relaxed; values from VASP
&SYSTEM
  ibrav = 0, nat = 16, ntyp = 3
/
ATOMIC_SPECIES
Pm 145.00 Pm.upf
Ga 69.72 Ga.upf
Rh 102.91 Rh.upf
CELL_PARAMETERS angstrom
4.664 0.000 0.000
0.000 6.548 0.000
0.000 0.000 8.900
ATOMIC_POSITIONS angstrom
Pm 0.000 3.274 4.450
Pm 0.000 3.274 0.000
Ga 2.332 1.346 0.000
Ga 0.484 5.245 6.675
Ga 2.332 5.202 0.000
Ga 4.180 5.245 2.225
Ga 0.484 1.304 6.675
Ga 2.332 1.346 4.450
Ga 4.180 1.304 2.225
Ga 2.332 5.202 4.450
Rh 0.000 0.000 0.000
Rh 2.895 0.000 6.675
Rh 0.000 0.000 4.450
Rh 1.769 0.000 2.225
Rh 2.558 3.274 2.225
Rh 2.106 3.274 6.675
! - Crystal system: orthorhombic
! - Formation energy: -527 meV per atom

=====

- Which formula does entry 2 have?
  PmGa4Rh3

=====

Copy entry 1 word for word.
! La2NiBiH | Alexandria via LeMat-Bulk | PBE | relaxed; values from VASP
&SYSTEM
  ibrav = 0, nat = 5, ntyp = 4
/
ATOMIC_SPECIES
H 1.01 H.upf
Bi 208.98 Bi.upf
Ni 58.69 Ni.upf
La 138.91 La.upf
CELL_PARAMETERS angstrom
-3.357 -3.032 -2.752
3.014 0.578 -4.315
2.107 -3.271 1.034
ATOMIC_POSITIONS angstrom
H 0.000 0.000 0.000
Bi 0.882 -2.863 -3.016
Ni 1.053 -1.635 0.517
La -1.679 -1.516 -1.376
La 1.507 0.289 -2.157
! - Crystal system: tetragonal
! - Total energy: -5.020 eV/atom